(1)
An optimized crystal structure of BaEr2RhO5, computed with PBE.

formation energy (no corrections)	-2.525	eV per atom

POSCAR file:
```
BaEr2RhO5
1.0
-1.9503 2.8751 5.8172
1.9503 -2.8751 5.8172
1.9503 2.8751 -5.8172
Ba Er Rh O
1 2 1 5
Cartesian
0.0000 0.0000 0.0000
1.9503 0.0000 3.4441
0.0000 2.8751 2.3731
0.0000 0.0000 5.8172
1.9503 1.4966 -1.8298
1.9503 1.4966 1.8298
0.0000 2.8751 0.0000
0.0000 1.3785 3.9874
0.0000 1.3785 7.6471
```



(2)
An optimized crystal structure of Mg2CdGe2Rh5, computed with PBE.

formation enthalpy at 0 K	-0.445	eV per atom

POSCAR file:
```
Mg2CdGe2Rh5
1.0
9.7210 0.0000 0.0000
0.0000 9.7210 0.0000
0.0000 0.0000 3.4553
Mg Cd Ge Rh
4 2 4 10
Cartesian
1.6681 3.1924 0.0000
3.1924 8.0529 0.0000
6.5286 1.6681 0.0000
8.0529 6.5286 0.0000
0.0000 0.0000 0.0000
4.8605 4.8605 0.0000
1.2504 6.1109 0.0000
3.6101 1.2504 0.0000
6.1109 8.4706 0.0000
8.4706 3.6101 0.0000
0.0000 4.8605 1.7276
0.6989 7.7032 1.7276
2.0178 0.6989 1.7276
2.8427 5.5594 1.7276
4.1616 2.8427 1.7276
4.8605 0.0000 1.7276
5.5594 6.8782 1.7276
6.8782 4.1616 1.7276
7.7032 9.0221 1.7276
9.0221 2.0178 1.7276
```



(3)
An optimized crystal structure of KPd2O2, computed with PBE.

formation energy (no corrections)	-0.411	eV per atom
E above lowest polymorph	0.183	eV per atom

POSCAR file:
```
KPd2O2
1.0
-2.0945 2.0945 5.1771
2.0945 -2.0945 5.1771
2.0945 2.0945 -5.1771
K Pd O
1 2 2
Cartesian
0.0000 0.0000 0.0000
0.0000 0.0000 3.0552
0.0000 0.0000 7.2991
2.0945 0.0000 2.5886
0.0000 2.0945 2.5886
```



Going through the records in order, we get N(E_F) values of 0.21 0.39 0.48 states/eV/atom.
Going through the records in order, we get DFT total energy values of -7.324 -5.455 -4.691 eV/atom.